1.
# Er8As4PS3 PBE relaxed
# Density, g/cm³: 8.15
# Energy relative to the elements, uncorrected, eV/f.u.: -27.75
data_Er8As4PS3
_chemical_formula_sum 'Er24 As12 P3 S9'
_symmetry_space_group_name_H-M 'R -3 m'
_symmetry_Int_Tables_number 166
_symmetry_space_group_name_Hall '-R 3 2"'
_cell_length_a 7.9934
_cell_length_b 7.9934
_cell_length_c 19.5039
_cell_angle_alpha 90.00
_cell_angle_beta 90.00
_cell_angle_gamma 120.00
loop_
_atom_site_label
_atom_site_fract_x
_atom_site_fract_y
_atom_site_fract_z
Er1 0.0000 0.0000 0.2499
Er2 0.0036 0.5018 0.2488
As1 0.0000 0.0000 0.0000
As2 0.0000 0.5000 0.0000
P1 0.0000 0.0000 0.5000
S1 0.0000 0.5000 0.5000

---

2.
# Pu3RuPb PBE relaxed
# Density, g/cm³: 16.07
# DFT formation energy, meV/atom: 352.5
data_Pu3RuPb
_chemical_formula_sum 'Pu3 Ru1 Pb1'
_symmetry_space_group_name_H-M 'P -6 m 2'
_symmetry_Int_Tables_number 187
_symmetry_space_group_name_Hall 'P -6 2'
_cell_length_a 6.1770
_cell_length_b 6.1770
_cell_length_c 3.2539
_cell_angle_alpha 90.00
_cell_angle_beta 90.00
_cell_angle_gamma 120.00
loop_
_atom_site_label
_atom_site_fract_x
_atom_site_fract_y
_atom_site_fract_z
Pu1 0.0798 0.5399 0.0000
Ru1 0.6667 0.3333 0.5000
Pb1 0.0000 0.0000 0.5000

---

3.
# YThCoPt PBE relaxed
# Density, g/cm³: 11.04
# DFT formation energy, meV/atom: -583.6
data_YThCoPt
_chemical_formula_sum 'Y4 Th4 Co4 Pt4'
_symmetry_space_group_name_H-M 'F -4 3 m'
_symmetry_Int_Tables_number 216
_symmetry_space_group_name_Hall 'F -4 2 3'
_cell_length_a 7.019
_cell_length_b 7.019
_cell_length_c 7.019
_cell_angle_alpha 90.00
_cell_angle_beta 90.00
_cell_angle_gamma 90.00
loop_
_atom_site_label
_atom_site_fract_x
_atom_site_fract_y
_atom_site_fract_z
Y1 0.000 0.000 0.000
Th1 0.000 0.000 0.500
Co1 0.250 0.250 0.250
Pt1 0.250 0.250 0.750

---

4.
# AcLaEr PBE relaxed
# Density, g/cm³: 7.88
# DFT formation energy, meV/atom: 54.3
data_AcLaEr
_chemical_formula_sum 'Ac2 La2 Er2'
_symmetry_space_group_name_H-M 'I 4 m m'
_symmetry_Int_Tables_number 107
_symmetry_space_group_name_Hall 'I 4 -2'
_cell_length_a 3.806
_cell_length_b 3.806
_cell_length_c 15.519
_cell_angle_alpha 90.00
_cell_angle_beta 90.00
_cell_angle_gamma 90.00
loop_
_atom_site_label
_atom_site_fract_x
_atom_site_fract_y
_atom_site_fract_z
Ac1 0.000 0.000 0.000
La1 0.000 0.000 0.323
Er1 0.000 0.000 0.667

---

5.
# BaLaCr2 PBE relaxed
# Density, g/cm³: 5.69
# DFT formation energy, meV/atom: 720.3
data_BaLaCr2
_chemical_formula_sum 'Ba4 La4 Cr8'
_symmetry_space_group_name_H-M 'F -4 3 m'
_symmetry_Int_Tables_number 216
_symmetry_space_group_name_Hall 'F -4 2 3'
_cell_length_a 7.626
_cell_length_b 7.626
_cell_length_c 7.626
_cell_angle_alpha 90.00
_cell_angle_beta 90.00
_cell_angle_gamma 90.00
loop_
_atom_site_label
_atom_site_fract_x
_atom_site_fract_y
_atom_site_fract_z
Ba1 0.000 0.000 0.000
La1 0.250 0.250 0.750
Cr1 0.000 0.000 0.500
Cr2 0.250 0.250 0.250

---

6.
# Pr3Nd2Dy PBE relaxed
# Density, g/cm³: 6.78
# DFT formation energy, meV/atom: 104.6
data_Pr3Nd2Dy
_chemical_formula_sum 'Pr12 Nd8 Dy4'
_symmetry_space_group_name_H-M 'C 1 2/m 1'
_symmetry_Int_Tables_number 12
_symmetry_space_group_name_Hall '-C 2y'
_cell_length_a 13.558
_cell_length_b 3.596
_cell_length_c 17.945
_cell_angle_alpha 90.00
_cell_angle_beta 102.15
_cell_angle_gamma 90.00
loop_
_atom_site_label
_atom_site_fract_x
_atom_site_fract_y
_atom_site_fract_z
Pr1 0.062 0.000 0.168
Pr2 0.126 0.500 0.992
Pr3 0.229 0.500 0.335
Nd1 0.131 0.500 0.500
Nd2 0.199 0.000 0.835
Dy1 0.043 0.500 0.680

---

7.
# NdZn2Ru PBE relaxed
# Density, g/cm³: 7.74
# DFT formation energy, meV/atom: -135.0
data_NdZn2Ru
_chemical_formula_sum 'Nd3 Zn6 Ru3'
_symmetry_space_group_name_H-M 'R -3 m'
_symmetry_Int_Tables_number 166
_symmetry_space_group_name_Hall '-R 3 2"'
_cell_length_a 4.3036
_cell_length_b 4.3036
_cell_length_c 15.1003
_cell_angle_alpha 90.00
_cell_angle_beta 90.00
_cell_angle_gamma 120.00
loop_
_atom_site_label
_atom_site_fract_x
_atom_site_fract_y
_atom_site_fract_z
Nd1 0.0000 0.0000 0.0000
Zn1 0.0000 0.0000 0.2064
Ru1 0.0000 0.0000 0.5000

---

8.
# PmNdCu PBE relaxed
# Density, g/cm³: 7.42
# DFT formation energy, meV/atom: 65.4
data_PmNdCu
_chemical_formula_sum 'Pm1 Nd1 Cu1'
_symmetry_space_group_name_H-M 'P 3 m 1'
_symmetry_Int_Tables_number 156
_symmetry_space_group_name_Hall 'P 3 -2"'
_cell_length_a 4.8744
_cell_length_b 4.8744
_cell_length_c 3.8387
_cell_angle_alpha 90.00
_cell_angle_beta 90.00
_cell_angle_gamma 120.00
loop_
_atom_site_label
_atom_site_fract_x
_atom_site_fract_y
_atom_site_fract_z
Pm1 0.0000 0.0000 0.0000
Nd1 0.3333 0.6667 0.4389
Cu1 0.6667 0.3333 0.7295

---

9.
# LaPmIBr PBE relaxed
# Density, g/cm³: 7.20
# Energy relative to the elements, uncorrected, eV/f.u.: -3.64
data_LaPmIBr
_chemical_formula_sum 'La4 Pm4 I4 Br4'
_symmetry_space_group_name_H-M 'F -4 3 m'
_symmetry_Int_Tables_number 216
_symmetry_space_group_name_Hall 'F -4 2 3'
_cell_length_a 7.678
_cell_length_b 7.678
_cell_length_c 7.678
_cell_angle_alpha 90.00
_cell_angle_beta 90.00
_cell_angle_gamma 90.00
loop_
_atom_site_label
_atom_site_fract_x
_atom_site_fract_y
_atom_site_fract_z
La1 0.000 0.000 0.000
Pm1 0.000 0.000 0.500
I1 0.250 0.250 0.250
Br1 0.250 0.250 0.750

---

10.
# K2LiSO4 PBE relaxed
# Density, g/cm³: 2.13
# Energy relative to the elements, uncorrected, eV/f.u.: -11.48
data_K2LiSO4
_chemical_formula_sum 'K4 Li2 S2 O8'
_symmetry_space_group_name_H-M 'I -4'
_symmetry_Int_Tables_number 82
_symmetry_space_group_name_Hall 'I -4'
_cell_length_a 6.032
_cell_length_b 6.032
_cell_length_c 7.749
_cell_angle_alpha 90.00
_cell_angle_beta 90.00
_cell_angle_gamma 90.00
loop_
_atom_site_label
_atom_site_fract_x
_atom_site_fract_y
_atom_site_fract_z
K1 0.000 0.000 0.000
K2 0.000 0.500 0.250
Li1 0.000 0.000 0.500
S1 0.000 0.500 0.750
O1 0.063 0.305 0.637

---

11.
# LiYTmCo PBE relaxed
# Density, g/cm³: 6.73
# DFT formation energy, meV/atom: -89.8
data_LiYTmCo
_chemical_formula_sum 'Li4 Y4 Tm4 Co4'
_symmetry_space_group_name_H-M 'F -4 3 m'
_symmetry_Int_Tables_number 216
_symmetry_space_group_name_Hall 'F -4 2 3'
_cell_length_a 6.835
_cell_length_b 6.835
_cell_length_c 6.835
_cell_angle_alpha 90.00
_cell_angle_beta 90.00
_cell_angle_gamma 90.00
loop_
_atom_site_label
_atom_site_fract_x
_atom_site_fract_y
_atom_site_fract_z
Li1 0.000 0.000 0.000
Y1 0.250 0.250 0.750
Tm1 0.250 0.250 0.250
Co1 0.000 0.000 0.500

---

12.
# InBr2N2 PBE relaxed
# Density, g/cm³: 5.46
# Energy relative to the elements, uncorrected, eV/f.u.: 5.88
data_InBr2N2
_chemical_formula_sum 'In2 Br4 N4'
_symmetry_space_group_name_H-M 'P 4/m b m'
_symmetry_Int_Tables_number 127
_symmetry_space_group_name_Hall '-P 4 2ab'
_cell_length_a 6.635
_cell_length_b 6.635
_cell_length_c 4.181
_cell_angle_alpha 90.00
_cell_angle_beta 90.00
_cell_angle_gamma 90.00
loop_
_atom_site_label
_atom_site_fract_x
_atom_site_fract_y
_atom_site_fract_z
In1 0.000 0.000 0.000
Br1 0.168 0.332 0.500
N1 0.236 0.264 0.000

---

13.
# Sc2InBr PBE relaxed
# Density, g/cm³: 5.00
# Energy relative to the elements, uncorrected, eV/f.u.: -1.87
data_Sc2InBr
_chemical_formula_sum 'Sc4 In2 Br2'
_symmetry_space_group_name_H-M 'C m m m'
_symmetry_Int_Tables_number 65
_symmetry_space_group_name_Hall '-C 2 2'
_cell_length_a 3.649
_cell_length_b 5.722
_cell_length_c 9.061
_cell_angle_alpha 90.00
_cell_angle_beta 90.00
_cell_angle_gamma 90.00
loop_
_atom_site_label
_atom_site_fract_x
_atom_site_fract_y
_atom_site_fract_z
Sc1 0.000 0.000 0.242
In1 0.000 0.500 0.500
Br1 0.000 0.500 0.000

---

14.
# CaBiS2Cl PBE relaxed
# Density, g/cm³: 3.83
# Energy relative to the elements, uncorrected, eV/f.u.: -3.41
data_CaBiS2Cl
_chemical_formula_sum 'Ca1 Bi1 S2 Cl1'
_symmetry_space_group_name_H-M 'P 4/m m m'
_symmetry_Int_Tables_number 123
_symmetry_space_group_name_Hall '-P 4 2'
_cell_length_a 5.370
_cell_length_b 5.370
_cell_length_c 5.238
_cell_angle_alpha 90.00
_cell_angle_beta 90.00
_cell_angle_gamma 90.00
loop_
_atom_site_label
_atom_site_fract_x
_atom_site_fract_y
_atom_site_fract_z
Ca1 0.000 0.000 0.000
Bi1 0.500 0.500 0.500
S1 0.000 0.500 0.500
Cl1 0.500 0.500 0.000

---

15.
# CrCd2Cl PBE relaxed
# Density, g/cm³: 5.61
# Energy relative to the elements, uncorrected, eV/f.u.: 1.17
data_CrCd2Cl
_chemical_formula_sum 'Cr4 Cd8 Cl4'
_symmetry_space_group_name_H-M 'F -4 3 m'
_symmetry_Int_Tables_number 216
_symmetry_space_group_name_Hall 'F -4 2 3'
_cell_length_a 7.178
_cell_length_b 7.178
_cell_length_c 7.178
_cell_angle_alpha 90.00
_cell_angle_beta 90.00
_cell_angle_gamma 90.00
loop_
_atom_site_label
_atom_site_fract_x
_atom_site_fract_y
_atom_site_fract_z
Cr1 0.000 0.000 0.000
Cd1 0.000 0.000 0.500
Cd2 0.250 0.250 0.750
Cl1 0.250 0.250 0.250

---

16.
# PmYTeO2 PBE relaxed
# Density, g/cm³: 6.05
# Energy relative to the elements, uncorrected, eV/f.u.: -14.62
data_PmYTeO2
_chemical_formula_sum 'Pm2 Y2 Te2 O4'
_symmetry_space_group_name_H-M 'P 1 21/m 1'
_symmetry_Int_Tables_number 11
_symmetry_space_group_name_Hall '-P 2yb'
_cell_length_a 6.906
_cell_length_b 4.141
_cell_length_c 7.895
_cell_angle_alpha 90.00
_cell_angle_beta 106.94
_cell_angle_gamma 90.00
loop_
_atom_site_label
_atom_site_fract_x
_atom_site_fract_y
_atom_site_fract_z
Pm1 0.175 0.250 0.423
Y1 0.159 0.250 0.912
Te1 0.451 0.750 0.748
O1 0.008 0.750 0.882
O2 0.017 0.750 0.374

---

17.
# YMg2SnAu4 PBE relaxed
# Density, g/cm³: 10.38
# DFT formation energy, meV/atom: -561.6
data_YMg2SnAu4
_chemical_formula_sum 'Y3 Mg6 Sn3 Au12'
_symmetry_space_group_name_H-M 'R -3 m'
_symmetry_Int_Tables_number 166
_symmetry_space_group_name_Hall '-R 3 2"'
_cell_length_a 4.6591
_cell_length_b 4.6591
_cell_length_c 26.6514
_cell_angle_alpha 90.00
_cell_angle_beta 90.00
_cell_angle_gamma 120.00
loop_
_atom_site_label
_atom_site_fract_x
_atom_site_fract_y
_atom_site_fract_z
Y1 0.0000 0.0000 0.0000
Mg1 0.0000 0.0000 0.2477
Sn1 0.0000 0.0000 0.5000
Au1 0.0000 0.0000 0.1163
Au2 0.0000 0.0000 0.3855

---

18.
# In3BiSe PBE relaxed
# Density, g/cm³: 5.18
# Energy relative to the elements, uncorrected, eV/f.u.: 2.18
data_In3BiSe
_chemical_formula_sum 'In3 Bi1 Se1'
_symmetry_space_group_name_H-M 'P m -3 m'
_symmetry_Int_Tables_number 221
_symmetry_space_group_name_Hall '-P 4 2 3'
_cell_length_a 5.874
_cell_length_b 5.874
_cell_length_c 5.874
_cell_angle_alpha 90.00
_cell_angle_beta 90.00
_cell_angle_gamma 90.00
loop_
_atom_site_label
_atom_site_fract_x
_atom_site_fract_y
_atom_site_fract_z
In1 0.000 0.000 0.500
Bi1 0.000 0.000 0.000
Se1 0.500 0.500 0.500

---

19.
# La16Tb6Ho7 PBE relaxed
# Density, g/cm³: 6.75
# DFT formation energy, meV/atom: 189.9
data_La16Tb6Ho7
_chemical_formula_sum 'La64 Tb24 Ho28'
_symmetry_space_group_name_H-M 'F m -3 m'
_symmetry_Int_Tables_number 225
_symmetry_space_group_name_Hall '-F 4 2 3'
_cell_length_a 16.215
_cell_length_b 16.215
_cell_length_c 16.215
_cell_angle_alpha 90.00
_cell_angle_beta 90.00
_cell_angle_gamma 90.00
loop_
_atom_site_label
_atom_site_fract_x
_atom_site_fract_y
_atom_site_fract_z
La1 0.126 0.126 0.126
La2 0.148 0.148 0.352
Tb1 0.000 0.000 0.260
Ho1 0.000 0.000 0.000
Ho2 0.000 0.250 0.250

---

20.
# Zn2BrF2 PBE relaxed
# Density, g/cm³: 5.69
# Energy relative to the elements, uncorrected, eV/f.u.: -6.61
data_Zn2BrF2
_chemical_formula_sum 'Zn4 Br2 F4'
_symmetry_space_group_name_H-M 'I 4/m m m'
_symmetry_Int_Tables_number 139
_symmetry_space_group_name_Hall '-I 4 2'
_cell_length_a 3.793
_cell_length_b 3.793
_cell_length_c 10.091
_cell_angle_alpha 90.00
_cell_angle_beta 90.00
_cell_angle_gamma 90.00
loop_
_atom_site_label
_atom_site_fract_x
_atom_site_fract_y
_atom_site_fract_z
Zn1 0.000 0.000 0.131
Br1 0.000 0.000 0.500
F1 0.000 0.500 0.250

---

21.
# Y2AlTc PBE relaxed
# Density, g/cm³: 5.31
# DFT formation energy, meV/atom: 306.3
data_Y2AlTc
_chemical_formula_sum 'Y8 Al4 Tc4'
_symmetry_space_group_name_H-M 'I -4 2 d'
_symmetry_Int_Tables_number 122
_symmetry_space_group_name_Hall 'I -4 2bw'
_cell_length_a 8.042
_cell_length_b 8.042
_cell_length_c 5.855
_cell_angle_alpha 90.00
_cell_angle_beta 90.00
_cell_angle_gamma 90.00
loop_
_atom_site_label
_atom_site_fract_x
_atom_site_fract_y
_atom_site_fract_z
Y1 0.202 0.250 0.125
Al1 0.000 0.000 0.500
Tc1 0.000 0.000 0.000

---

22.
# Sn2As2Cl PBE relaxed
# Density, g/cm³: 5.90
# Energy relative to the elements, uncorrected, eV/f.u.: 0.03
data_Sn2As2Cl
_chemical_formula_sum 'Sn4 As4 Cl2'
_symmetry_space_group_name_H-M 'P 4/m b m'
_symmetry_Int_Tables_number 127
_symmetry_space_group_name_Hall '-P 4 2ab'
_cell_length_a 8.119
_cell_length_b 8.119
_cell_length_c 3.608
_cell_angle_alpha 90.00
_cell_angle_beta 90.00
_cell_angle_gamma 90.00
loop_
_atom_site_label
_atom_site_fract_x
_atom_site_fract_y
_atom_site_fract_z
Sn1 0.153 0.347 0.000
As1 0.143 0.643 0.500
Cl1 0.000 0.000 0.500

---

23.
# LiEr6Ru5 PBE relaxed
# Density, g/cm³: 10.74
# DFT formation energy, meV/atom: -380.7
data_LiEr6Ru5
_chemical_formula_sum 'Li2 Er12 Ru10'
_symmetry_space_group_name_H-M 'C m m m'
_symmetry_Int_Tables_number 65
_symmetry_space_group_name_Hall '-C 2 2'
_cell_length_a 4.811
_cell_length_b 14.387
_cell_length_c 6.774
_cell_angle_alpha 90.00
_cell_angle_beta 90.00
_cell_angle_gamma 90.00
loop_
_atom_site_label
_atom_site_fract_x
_atom_site_fract_y
_atom_site_fract_z
Li1 0.000 0.000 0.000
Er1 0.000 0.171 0.253
Er2 0.000 0.500 0.259
Ru1 0.000 0.000 0.500
Ru2 0.000 0.333 0.500
Ru3 0.000 0.338 0.000

---

24.
# PaTe2Pd PBE relaxed
# Density, g/cm³: 10.63
# Energy relative to the elements, uncorrected, eV/f.u.: -2.43
data_PaTe2Pd
_chemical_formula_sum 'Pa1 Te2 Pd1'
_symmetry_space_group_name_H-M 'P 4/m m m'
_symmetry_Int_Tables_number 123
_symmetry_space_group_name_Hall '-P 4 2'
_cell_length_a 4.878
_cell_length_b 4.878
_cell_length_c 3.890
_cell_angle_alpha 90.00
_cell_angle_beta 90.00
_cell_angle_gamma 90.00
loop_
_atom_site_label
_atom_site_fract_x
_atom_site_fract_y
_atom_site_fract_z
Pa1 0.000 0.000 0.000
Te1 0.000 0.500 0.500
Pd1 0.500 0.500 0.000

---

25.
# CsZnI2O PBE relaxed
# Density, g/cm³: 4.48
# Energy relative to the elements, uncorrected, eV/f.u.: -3.92
data_CsZnI2O
_chemical_formula_sum 'Cs1 Zn1 I2 O1'
_symmetry_space_group_name_H-M 'P 4/m m m'
_symmetry_Int_Tables_number 123
_symmetry_space_group_name_Hall '-P 4 2'
_cell_length_a 6.985
_cell_length_b 6.985
_cell_length_c 3.558
_cell_angle_alpha 90.00
_cell_angle_beta 90.00
_cell_angle_gamma 90.00
loop_
_atom_site_label
_atom_site_fract_x
_atom_site_fract_y
_atom_site_fract_z
Cs1 0.000 0.000 0.000
Zn1 0.500 0.500 0.500
I1 0.000 0.500 0.500
O1 0.500 0.500 0.000